A plane-wave DFT calculation with GGA-PBE was carried out for crystalline Hf3AlRu at its relaxed geometry.

Geometry as extended XYZ:
```
5
Lattice="4.846 0.000 0.000 0.000 4.846 0.000 0.000 0.000 4.846" Properties=species:S:1:pos:R:3 pbc="T T T"
Ru 2.423 2.423 2.423
Hf 0.000 2.423 0.000
Hf 0.000 0.000 2.423
Hf 2.423 0.000 0.000
Al 0.000 0.000 0.000
```

Summary:
Excess energy over the best structure of this formula in the dataset, meV/atom: 780
Space-group type: Pm-3m (221)
Uncorrected energy, eV/cell: -37.3
Spin magnetization, μB per atom: 0.000

---

A plane-wave DFT calculation with GGA-PBE was carried out for crystalline HfAl4Ru5 at its relaxed geometry.

Geometry as extended XYZ:
```
10
Lattice="3.081 0.000 0.000 0.000 3.081 0.000 0.000 0.000 15.095" Properties=species:S:1:pos:R:3 pbc="T T T"
Hf 0.000 0.000 0.000
Al 0.000 0.000 3.137
Al 0.000 0.000 6.070
Al 0.000 0.000 9.025
Al 0.000 0.000 11.958
Ru 1.540 1.540 1.644
Ru 1.540 1.540 4.594
Ru 1.540 1.540 7.548
Ru 1.540 1.540 10.501
Ru 1.540 1.540 13.451
```

Summary:
Space-group type: P4/mmm (123)
Uncorrected energy, eV/cell: -78.0
Spin magnetization, μB per atom: 0.000

---

Number 1: formation energy from the elements 1.113 eV/atom. Number 2: formation energy from the elements -0.671 eV/atom.